The following is a DFT calculation (PBE) of an optimized crystal structure of Ca2HfRh2.

Its excess energy over the best structure of this formula in the dataset is 0.768 eV/atom. The value obtained for the raw total energy is -26.9 eV per cell. Its density of states at the Fermi level is 0.220 states/eV per atom.

Unit cell a=4.8630 b=4.8630 c=5.7830 alpha=65.14 beta=65.14 gamma=90.00
With the nearest neighbours (Å) after each atom.
Positions (direct):
1 Rh 0.2500 0.7500 0.5000  4 Ca 2.62
2 Rh 0.7500 0.2500 0.5000  4 Ca 2.62
3 Ca 0.3550 0.3550 0.2899  4 Rh 2.62, 1 Ca 2.70
4 Ca 0.6450 0.6450 0.7101  4 Rh 2.62, 1 Ca 2.70
5 Hf 0.0000 0.0000 0.0000  10 Ca 3.30-3.69, 8 Rh 3.36